Entry 1:
NdS2 | PBE-GGA | relaxed

Results
Crystal system: cubic
Electronic total energy, eV per atom: -4.561

Lattice parameters (Å, degrees): 7.8904 7.8904 7.8904 90.00 90.00 90.00
Space group Fd-3m (No. 227, origin choice 2)
Symmetry-distinct sites (fractional):
1 Nd 0.1250 0.1250 0.1250 [8 per cell]
2 S 0.0000 0.0000 0.5000 [16 per cell]

Entry 2:
HgPSe3 | PBE-GGA | relaxed

Results
Crystal system: trigonal
Electronic total energy, eV per atom: -3.340

Lattice parameters (Å, degrees): 6.6799 6.6799 21.2076 90.00 90.00 120.00
Space group R-3 (No. 148, hexagonal axes)
Symmetry-distinct sites (fractional):
1 Hg 0.0000 0.0000 0.1692 [6 per cell]
2 P 0.0000 0.0000 0.4453 [6 per cell]
3 Se 0.0063 0.6870 0.5856 [18 per cell]

Entry 3:
Er2Fe3Ge5 | PBE-GGA | relaxed

Results
Crystal system: orthorhombic
Electronic total energy, eV per atom: -6.190

Lattice parameters (Å, degrees): 9.5218 12.0734 5.5808 90.00 90.00 90.00
Space group Ibam (No. 72)
Symmetry-distinct sites (fractional):
1 Er 0.2300 0.1437 0.0000 [8 per cell]
2 Fe 0.0000 0.5000 0.2500 [4 per cell]
3 Fe 0.0894 0.1467 0.5000 [8 per cell]
4 Ge 0.0000 0.0000 0.2500 [4 per cell]
5 Ge 0.0000 0.2905 0.2500 [8 per cell]
6 Ge 0.1785 0.4154 0.0000 [8 per cell]

Entry 4:
DyUPb | PBE-GGA | relaxed

Results
Energy above the most stable polymorph in this dataset, meV per atom: 0
Crystal system: cubic

Lattice parameters (Å, degrees): 7.3918 7.3918 7.3918 90.00 90.00 90.00
Space group F-43m (No. 216)
Symmetry-distinct sites (fractional):
1 Dy 0.0000 0.0000 0.0000 [4 per cell]
2 U 0.0000 0.0000 0.5000 [4 per cell]
3 Pb 0.2500 0.2500 0.2500 [4 per cell]

Entry 5:
Th3Fe | PBE-GGA | relaxed

Results
Energy of formation, meV/atom: 334
Crystal system: tetragonal

Lattice parameters (Å, degrees): 4.6884 4.6884 9.8506 90.00 90.00 90.00
Space group I4/mmm (No. 139)
Symmetry-distinct sites (fractional):
1 Th 0.0000 0.0000 0.0000 [2 per cell]
2 Th 0.0000 0.5000 0.2500 [4 per cell]
3 Fe 0.0000 0.0000 0.5000 [2 per cell]

Entry 6:
Gd2Er2O5 | PBE-GGA | relaxed

Results
Energy above the most stable polymorph in this dataset, meV per atom: 164
Crystal system: tetragonal

Lattice parameters (Å, degrees): 4.2719 4.2719 7.5294 90.00 90.00 90.00
Space group P4/mmm (No. 123)
Symmetry-distinct sites (fractional):
1 Gd 0.0000 0.0000 0.0000 [1 per cell]
2 Gd 0.0000 0.0000 0.5000 [1 per cell]
3 Er 0.5000 0.5000 0.2265 [2 per cell]
4 O 0.0000 0.5000 0.2366 [4 per cell]
5 O 0.5000 0.5000 0.5000 [1 per cell]

Entry 7:
Gd2Tm2In | PBE-GGA | relaxed

Results
Crystal system: tetragonal
Electronic total energy, eV per atom: -4.214

Lattice parameters (Å, degrees): 8.0866 8.0866 4.6344 90.00 90.00 90.00
Space group P4/mbm (No. 127)
Symmetry-distinct sites (fractional):
1 Gd 0.1531 0.3469 0.0000 [4 per cell]
2 Tm 0.1475 0.6475 0.5000 [4 per cell]
3 In 0.0000 0.0000 0.5000 [2 per cell]

Entry 8:
LiTmTe3Pt | PBE-GGA | relaxed

Results
Crystal system: orthorhombic
Electronic total energy, eV per atom: -4.500

Lattice parameters (Å, degrees): 4.0062 15.1600 10.6437 90.00 90.00 90.00
Space group Cmcm (No. 63)
Symmetry-distinct sites (fractional):
1 Li 0.0000 0.1649 0.2500 [4 per cell]
2 Tm 0.0000 0.0000 0.0000 [4 per cell]
3 Te 0.0000 0.0978 0.7500 [4 per cell]
4 Te 0.0000 0.3549 0.5668 [8 per cell]
5 Pt 0.0000 0.4794 0.7500 [4 per cell]